No. 1
## BaPI3 (SCAN)

Data for a PBEsol-optimized structure of BaPI3.

Cell lengths 5.5798, 5.5798, 5.5798 Å; angles 90.00, 90.00, 90.00 degrees
Last column: nearest neighbours and their distance in Å.
Positions (direct):
I 0.0000 0.5000 0.0000  2 P 2.79
I 0.0000 0.0000 0.5000  2 P 2.79
I 0.5000 0.0000 0.0000  2 P 2.79
P 0.0000 0.0000 0.0000  6 I 2.79
Ba 0.5000 0.5000 0.5000  12 I 3.95

Output
The uncorrected formation energy comes out at -0.6696 eV per atom. Its space-group type is Pm-3m. The calculated density comes out at 5.25 g cm⁻³.


No. 2
## Ti2HgBi2 (SCAN)

Data for a PBEsol-optimized structure of Ti2HgBi2.

Cell lengths 3.8051, 7.5550, 7.5550 Å; angles 90.00, 90.00, 90.00 degrees
Last column: nearest neighbours and their distance in Å.
Positions (direct):
Ti 0.0000 0.3646 0.8646  1 Ti 2.89, 6 Bi 2.90-2.94, 2 Hg 2.94
Ti 0.0000 0.8646 0.6354  1 Ti 2.89, 6 Bi 2.90-2.94, 2 Hg 2.94
Ti 0.0000 0.6354 0.1354  1 Ti 2.89, 6 Bi 2.90-2.94, 2 Hg 2.94
Ti 0.0000 0.1354 0.3646  1 Ti 2.89, 6 Bi 2.90-2.94, 2 Hg 2.94
Bi 0.5000 0.1604 0.6604  6 Ti 2.90-2.94
Bi 0.5000 0.6604 0.8396  6 Ti 2.90-2.94
Bi 0.5000 0.8396 0.3396  6 Ti 2.90-2.94
Bi 0.5000 0.3396 0.1604  6 Ti 2.90-2.94
Hg 0.0000 0.0000 0.0000  4 Ti 2.94
Hg 0.0000 0.5000 0.5000  4 Ti 2.94

Output
Its space-group type is P4/mbm. The formation energy is -0.15 eV/atom. The calculated density comes out at 10.92 g cm⁻³.


No. 3
## Mg2CdTc (SCAN)

Data for a PBEsol-optimized structure of Mg2CdTc.

Cell lengths 2.8108, 4.3591, 5.7388 Å; angles 90.00, 90.00, 90.00 degrees
Last column: nearest neighbours and their distance in Å.
Positions (direct):
Cd 0.5000 0.5000 0.7419  5 Mg 2.69-2.98, 2 Cd 2.81, 4 Tc 2.97
Mg 0.0000 0.0000 0.9960  6 Mg 2.81-3.04, 2 Tc 2.83-2.91, 4 Cd 2.98
Mg 0.5000 0.5000 0.2737  1 Cd 2.69, 2 Mg 2.81, 4 Tc 2.87
Tc 0.0000 0.0000 0.4884  2 Tc 2.81, 6 Mg 2.83-2.91, 4 Cd 2.97

Output
Its space-group type is Pmm2. The formation energy is 0.18 eV/atom. The calculated density comes out at 6.12 g cm⁻³.


No. 4
## Sr3SnGe (SCAN)

Data for a PBEsol-optimized structure of Sr3SnGe.

Cell lengths 6.1517, 6.1517, 6.1517 Å; angles 90.00, 90.00, 90.00 degrees
Last column: nearest neighbours and their distance in Å.
Positions (direct):
Sr 0.0000 0.5000 0.0000  2 Sn 3.08
Sr 0.0000 0.0000 0.5000  2 Sn 3.08
Sr 0.5000 0.0000 0.0000  2 Sn 3.08
Ge 0.5000 0.5000 0.5000  12 Sr 4.35
Sn 0.0000 0.0000 0.0000  6 Sr 3.08

Output
Its space-group type is Pm-3m. The formation energy is 0.01 eV/atom. The calculated density comes out at 3.24 g cm⁻³.


No. 5
## AsOsS2N (SCAN)

Data for a PBEsol-optimized structure of AsOsS2N.

Cell lengths 3.3953, 4.6646, 4.6646 Å; angles 90.00, 90.00, 90.00 degrees
Last column: nearest neighbours and their distance in Å.
Positions (direct):
As 0.0000 0.0000 0.0000  2 N 1.70
Os 0.5000 0.5000 0.5000  8 S 2.88
S 0.0000 0.0000 0.5000  2 As 2.33
S 0.0000 0.5000 0.0000  2 As 2.33
N 0.5000 0.0000 0.0000  2 As 1.70

Output
The uncorrected formation energy comes out at 1.6323 eV per atom. Its space-group type is P4/mmm. The calculated density comes out at 7.72 g cm⁻³.


No. 6
## LiBi2P3O11 (SCAN)

Data for a PBEsol-optimized structure of LiBi2P3O11.

Cell lengths 8.0359, 8.0359, 9.7963 Å; angles 62.09, 62.09, 68.43 degrees
Last column: nearest neighbours and their distance in Å.
Positions (direct):
Li 0.5350 0.9545 0.2869  3 O 2.01-2.09
Li 0.0455 0.4650 0.7131  3 O 2.01-2.09
Bi 0.9041 0.3503 0.1767  4 O 2.20-2.39
Bi 0.3491 0.9140 0.6832  4 O 2.19-2.44
Bi 0.6497 0.0959 0.8233  4 O 2.20-2.39
Bi 0.0860 0.6509 0.3168  4 O 2.19-2.44
P 0.5384 0.6605 0.0216  4 O 1.51-1.62
P 0.9414 0.0586 0.0000  4 O 1.54-1.56
P 0.6607 0.5503 0.5038  4 O 1.52-1.61
P 0.3395 0.4616 0.9784  4 O 1.51-1.62
P 0.0616 0.9384 0.5000  4 O 1.53-1.57
P 0.4497 0.3393 0.4962  4 O 1.52-1.61
O 0.0118 0.9384 0.1470  1 P 1.54
O 0.9156 0.9791 0.6560  1 P 1.53
O 0.7401 0.6263 0.0132  1 P 1.51
O 0.4999 0.8400 0.8756  1 P 1.54
O 0.3883 0.6790 0.1866  1 P 1.54
O 0.9582 0.2697 0.9432  1 P 1.56
O 0.6310 0.7590 0.4806  1 P 1.52
O 0.5172 0.4828 0.0000  2 P 1.62
O 0.8245 0.5129 0.3495  1 P 1.54
O 0.6997 0.4051 0.6612  1 P 1.53
O 0.2670 0.9432 0.4758  1 P 1.57
O 0.7303 0.0418 0.0568  1 P 1.56
O 0.3210 0.6117 0.8134  1 P 1.54
O 0.1600 0.5001 0.1244  1 P 1.54
O 0.4717 0.5283 0.5000  2 P 1.61
O 0.3737 0.2599 0.9868  1 P 1.51
O 0.0568 0.7330 0.5242  1 P 1.57
O 0.5949 0.3003 0.3388  1 P 1.53
O 0.4871 0.1755 0.6505  1 P 1.54
O 0.2410 0.3690 0.5194  1 P 1.52
O 0.0616 0.9882 0.8530  1 P 1.54
O 0.0209 0.0844 0.3440  1 P 1.53

Output
The uncorrected formation energy comes out at -2.1137 eV per atom. Its space-group type is C2. The calculated density comes out at 4.75 g cm⁻³.